The following is a PBE calculation of an optimized crystal structure of Ni5Ir, from Alexandria via LeMat-Bulk.

Calculated values
- E_form (eV per atom) = 0.019
- space group = P-62m (189)
- offset from the most stable computed form (eV per atom) = 0.002
- DFT total energy (eV/atom) = -6.275

abc: 4.400 4.400 4.164
angles: 90.00 90.00 120.00
Fractional positions:
Ni: 0.331 0.667 0.000
Ni: 0.667 0.331 0.000
Ni: 0.333 0.000 0.500
Ni: 0.002 0.002 0.000
Ir: 0.667 0.667 0.500
Ni: 0.000 0.333 0.500

The following is a PBE calculation of an optimized crystal structure of Nd2TmAl2Pd5, from Alexandria via LeMat-Bulk.

Calculated values
- E_form (eV per atom) = -0.825
- space group = P4/mbm (127)
- DFT total energy (eV/atom) = -5.571

abc: 3.721 10.352 10.352
angles: 90.00 90.00 90.00
Fractional positions:
Al: 0.000 0.119 0.619
Tm: 0.000 0.500 0.500
Al: 0.000 0.881 0.381
Al: 0.000 0.381 0.119
Pd: 0.500 0.500 0.000
Pd: 0.500 0.784 0.936
Pd: 0.500 0.436 0.284
Al: 0.000 0.619 0.881
Pd: 0.500 0.716 0.436
Nd: 0.000 0.822 0.678
Pd: 0.500 0.936 0.216
Pd: 0.500 0.216 0.064
Nd: 0.000 0.178 0.322
Nd: 0.000 0.678 0.178
Nd: 0.000 0.322 0.822
Tm: 0.000 0.000 0.000
Pd: 0.500 0.284 0.564
Pd: 0.500 0.000 0.500
Pd: 0.500 0.564 0.716
Pd: 0.500 0.064 0.784